Pu2Pd3Pb2 | GGA-PBE | relaxed

Structure (POSCAR):
```
Pu2Pd3Pb2
1.0
5.1074 0.2114 -0.0165
-2.2405 7.2770 1.4474
-0.0134 0.5435 4.6098
Pb Pd Pu
2 3 2
direct
0.4082 0.7733 0.1154
0.5918 0.2267 0.8846
0.3320 0.5340 0.7338
0.6680 0.4660 0.2662
0.0000 0.0000 0.0000
0.0895 0.2692 0.3645
0.9105 0.7308 0.6355
```

formation enthalpy at 0 K = -0.2782 eV/atom
spin magnetization = 11.18 μB per formula unit
calculated volume = 169.5 Å³/f.u.
N(E_F) = 27.75 states/eV per cell
crystal system = triclinic